Computed, not measured: a geometry-optimized SrCaGa2Au2 structure at the PBE level of DFT.

Lattice parameters (Å, degrees): 4.5938 4.5938 7.8424 90.00 90.00 120.00
With the nearest neighbours (Å) after each atom.
Space group P-3m1 (No. 164)
Asymmetric unit:
Sr: 0.0000 0.0000 0.0000 (multiplicity 1)  6 Au 3.43, 6 Ga 3.43
Ca: 0.0000 0.0000 0.5000 (multiplicity 1)  6 Ga 3.17, 6 Au 3.18
Ga: 0.3333 0.6667 0.2780 (multiplicity 2)  3 Au 2.65
Au: 0.3333 0.6667 0.7226 (multiplicity 2)  3 Ga 2.65

Values from the calculation:
* M_tot: 0.000 μB per formula unit
* DFT formation energy: -678 meV/atom
* uncorrected energy: -3.393 eV per atom



Computed, not measured: a geometry-optimized CaTbGaAu structure at the PBE level of DFT.

Lattice parameters (Å, degrees): 7.2473 7.2473 7.2473 90.00 90.00 90.00
With the nearest neighbours (Å) after each atom.
Space group F-43m (No. 216)
Asymmetric unit:
Ca: 0.0000 0.0000 0.0000 (multiplicity 4)  4 Au 3.14, 4 Ga 3.14
Tb: 0.0000 0.0000 0.5000 (multiplicity 4)  4 Ga 3.14, 4 Au 3.14
Ga: 0.2500 0.2500 0.7500 (multiplicity 4)  4 Tb 3.14, 4 Ca 3.14
Au: 0.2500 0.2500 0.2500 (multiplicity 4)  4 Tb 3.14, 4 Ca 3.14

Values from the calculation:
* M_tot: 0.000 μB per formula unit
* DFT formation energy: -656 meV/atom
* uncorrected energy: -3.890 eV per atom



Computed, not measured: a geometry-optimized CaTbGaAu structure at the PBE level of DFT.

Lattice parameters (Å, degrees): 4.6444 3.8255 11.1794 90.00 90.00 90.00
With the nearest neighbours (Å) after each atom.
Space group Amm2 (No. 38)
Asymmetric unit:
Ca: 0.0000 0.0000 0.0000 (multiplicity 2)  3 Ga 3.08-3.16, 4 Au 3.11
Tb: 0.5000 0.0000 0.7154 (multiplicity 2)  3 Au 3.06-3.20, 4 Ga 3.08
Ga: 0.0000 0.0000 0.2751 (multiplicity 2)  2 Au 2.89, 3 Ca 3.08-3.16, 4 Tb 3.08
Au: 0.5000 0.0000 0.4290 (multiplicity 2)  2 Ga 2.89, 3 Tb 3.06-3.20, 4 Ca 3.11

Values from the calculation:
* M_tot: 0.000 μB per formula unit
* DFT formation energy: -661 meV/atom
* uncorrected energy: -3.895 eV per atom